Below is an optimized crystal structure of ErIrRu, with properties calculated at the GGA-PBE level.

```
data_ErIrRu
_space_group_name_H-M_alt 'A m m 2'
_space_group_IT_number 38
_cell_length_a 8.8228
_cell_length_b 5.3133
_cell_length_c 9.0927
_cell_angle_alpha 90.00
_cell_angle_beta 90.00
_cell_angle_gamma 90.00
loop_
_space_group_symop_operation_xyz
'x,y,z'
'-x,-y,z'
'-x,y,z'
'x,-y,z'
'x,y+1/2,z+1/2'
'-x,-y+1/2,z+1/2'
'-x,y+1/2,z+1/2'
'x,-y+1/2,z+1/2'
loop_
_atom_site_label
_atom_site_type_symbol
_atom_site_fract_x
_atom_site_fract_y
_atom_site_fract_z
Er1 Er 0.1815 0.0000 0.0000
Er2 Er 0.3165 0.0000 0.3333
Ir1 Ir 0.0000 0.2456 0.2531
Ir2 Ir 0.2499 0.0000 0.6654
Ru1 Ru 0.0000 0.0000 0.4959
Ru2 Ru 0.5000 0.0000 0.8410
Ru3 Ru 0.5000 0.2453 0.0824
```

## Properties
Total energy   -8.175 eV/atom
Formation energy   -0.61 eV/atom
Excess energy over the best structure of this formula in the dataset   0.000 eV per atom
Density of states at the Fermi level   22.770 states/eV per cell